Entry from the Alexandria database: a PBEsol-optimized structure of Te2AuBr (meta-GGA SCAN).

Values from the calculation:
Formation energy without anion corrections   132 meV per atom
Fermi-level density of states   0.438 states/eV per atom

abc: 3.645 3.645 7.588
angles: 90.00 90.00 90.00
Element x y z (fractional)
Te 0.000 0.000 0.810
Te 0.000 0.000 0.190
Au 0.500 0.500 0.000
Br 0.500 0.500 0.500